(1)
## BS3N (GGA-PBE)

Data for a relaxed structure of BS3N.

CIF file:
```
data_BS3N
_chemical_formula_sum 'B1 S3 N1'
_symmetry_space_group_name_H-M 'P m -3 m'
_symmetry_Int_Tables_number 221
_symmetry_space_group_name_Hall '-P 4 2 3'
_cell_length_a 4.128
_cell_length_b 4.128
_cell_length_c 4.128
_cell_angle_alpha 90.00
_cell_angle_beta 90.00
_cell_angle_gamma 90.00
loop_
_atom_site_label
_atom_site_fract_x
_atom_site_fract_y
_atom_site_fract_z
B1 0.000 0.000 0.000
S1 0.000 0.000 0.500
N1 0.500 0.500 0.500
```

Properties
The volume is 14.07 Å³ per atom. As for the energy above the most stable polymorph in this dataset: 0.000 eV per atom. Its formation energy without anion corrections is 1.821 eV/atom. The total magnetization is 0.328 μB per atom.

---

(2)
## BSN3 (GGA-PBE)

Data for a relaxed structure of BSN3.

CIF file:
```
data_BSN3
_chemical_formula_sum 'B1 S1 N3'
_symmetry_space_group_name_H-M 'P m -3 m'
_symmetry_Int_Tables_number 221
_symmetry_space_group_name_Hall '-P 4 2 3'
_cell_length_a 3.395
_cell_length_b 3.395
_cell_length_c 3.395
_cell_angle_alpha 90.00
_cell_angle_beta 90.00
_cell_angle_gamma 90.00
loop_
_atom_site_label
_atom_site_fract_x
_atom_site_fract_y
_atom_site_fract_z
B1 0.000 0.000 0.000
S1 0.500 0.500 0.500
N1 0.000 0.500 0.500
```

Properties
The volume is 7.83 Å³ per atom. Its formation energy without anion corrections is 2.568 eV/atom. The total magnetization is 0.000 μB per atom.

---

(3)
## BSN3 (GGA-PBE)

Data for a relaxed structure of BSN3.

CIF file:
```
data_BSN3
_chemical_formula_sum 'B1 S1 N3'
_symmetry_space_group_name_H-M 'P m -3 m'
_symmetry_Int_Tables_number 221
_symmetry_space_group_name_Hall '-P 4 2 3'
_cell_length_a 3.377
_cell_length_b 3.377
_cell_length_c 3.377
_cell_angle_alpha 90.00
_cell_angle_beta 90.00
_cell_angle_gamma 90.00
loop_
_atom_site_label
_atom_site_fract_x
_atom_site_fract_y
_atom_site_fract_z
B1 0.000 0.000 0.000
S1 0.500 0.500 0.500
N1 0.000 0.000 0.500
```

Properties
The volume is 7.70 Å³ per atom. Its formation energy without anion corrections is 1.996 eV/atom. The total magnetization is 0.000 μB per atom.

---

(4)
## BSN2 (GGA-PBE)

Data for a relaxed structure of BSN2.

CIF file:
```
data_BSN2
_chemical_formula_sum 'B3 S3 N6'
_symmetry_space_group_name_H-M 'R -3 m'
_symmetry_Int_Tables_number 166
_symmetry_space_group_name_Hall '-R 3 2"'
_cell_length_a 2.6667
_cell_length_b 2.6667
_cell_length_c 15.5513
_cell_angle_alpha 90.00
_cell_angle_beta 90.00
_cell_angle_gamma 120.00
loop_
_atom_site_label
_atom_site_fract_x
_atom_site_fract_y
_atom_site_fract_z
B1 0.0000 0.0000 0.0000
S1 0.0000 0.0000 0.5000
N1 0.0000 0.0000 0.3891
```

Properties
The volume is 7.98 Å³ per atom. As for the energy above the most stable polymorph in this dataset: 0.197 eV per atom. Its formation energy without anion corrections is 0.827 eV/atom. The total magnetization is 0.000 μB per atom.

---

(5)
## BS2N2 (GGA-PBE)

Data for a relaxed structure of BS2N2.

CIF file:
```
data_BS2N2
_chemical_formula_sum 'B1 S2 N2'
_symmetry_space_group_name_H-M 'P 4/m m m'
_symmetry_Int_Tables_number 123
_symmetry_space_group_name_Hall '-P 4 2'
_cell_length_a 3.943
_cell_length_b 3.943
_cell_length_c 3.569
_cell_angle_alpha 90.00
_cell_angle_beta 90.00
_cell_angle_gamma 90.00
loop_
_atom_site_label
_atom_site_fract_x
_atom_site_fract_y
_atom_site_fract_z
B1 0.000 0.000 0.000
S1 0.000 0.500 0.500
N1 0.500 0.500 0.000
N2 0.500 0.500 0.500
```

Properties
The volume is 11.09 Å³ per atom. As for the energy above the most stable polymorph in this dataset: 1.338 eV per atom. Its formation energy without anion corrections is 2.433 eV/atom. The total magnetization is 0.161 μB per atom.

---

(6)
## BSN2 (GGA-PBE)

Data for a relaxed structure of BSN2.

CIF file:
```
data_BSN2
_chemical_formula_sum 'B4 S4 N8'
_symmetry_space_group_name_H-M 'I -4 2 d'
_symmetry_Int_Tables_number 122
_symmetry_space_group_name_Hall 'I -4 2bw'
_cell_length_a 4.475
_cell_length_b 4.475
_cell_length_c 7.072
_cell_angle_alpha 90.00
_cell_angle_beta 90.00
_cell_angle_gamma 90.00
loop_
_atom_site_label
_atom_site_fract_x
_atom_site_fract_y
_atom_site_fract_z
B1 0.000 0.000 0.000
S1 0.000 0.000 0.500
N1 0.141 0.250 0.125
```

Properties
The volume is 8.85 Å³ per atom. As for the energy above the most stable polymorph in this dataset: 0.000 eV per atom. Its formation energy without anion corrections is 0.630 eV/atom. The total magnetization is 0.000 μB per atom.

---

Question: Which formula does entry 5 have?
Answer: BS2N2

---

Copy entry 5 word for word.
## BS2N2 (GGA-PBE)

Data for a relaxed structure of BS2N2.

CIF file:
```
data_BS2N2
_chemical_formula_sum 'B1 S2 N2'
_symmetry_space_group_name_H-M 'P 4/m m m'
_symmetry_Int_Tables_number 123
_symmetry_space_group_name_Hall '-P 4 2'
_cell_length_a 3.943
_cell_length_b 3.943
_cell_length_c 3.569
_cell_angle_alpha 90.00
_cell_angle_beta 90.00
_cell_angle_gamma 90.00
loop_
_atom_site_label
_atom_site_fract_x
_atom_site_fract_y
_atom_site_fract_z
B1 0.000 0.000 0.000
S1 0.000 0.500 0.500
N1 0.500 0.500 0.000
N2 0.500 0.500 0.500
```

Properties
The volume is 11.09 Å³ per atom. As for the energy above the most stable polymorph in this dataset: 1.338 eV per atom. Its formation energy without anion corrections is 2.433 eV/atom. The total magnetization is 0.161 μB per atom.

---

Question: The lowest formation energy without anion corrections belongs to which entry?
Answer: number 6